VASP calculation (PBE) on a geometry-optimized LiPm3Nd2S6 structure.

Geometry as extended XYZ:
```
12
Lattice="-6.592 2.216 0.400 2.288 -4.975 4.305 3.252 5.511 2.753" Properties=species:S:1:pos:R:3 pbc="T T T"
S -1.681 1.851 1.195
S 1.190 -0.474 2.457
Pm -3.489 3.776 2.426
S 1.426 3.503 3.208
S -2.241 3.226 5.001
S 0.629 0.901 6.264
Pm 2.438 -1.024 5.033
S -2.477 -0.750 4.250
Pm -0.526 1.376 3.729
Nd -3.624 -0.187 1.705
Li 0.000 0.000 0.000
Nd -0.680 -2.572 3.000
```

Properties
formation energy (no corrections)	-1.963	eV/atom
Fermi-level density of states	5.006	states/eV/cell

VASP calculation (PBE) on a geometry-optimized LiHoPdPt structure.

Geometry as extended XYZ:
```
4
Lattice="-4.125 -2.035 0.780 -2.245 -2.134 -3.489 -0.352 -4.652 -0.048" Properties=species:S:1:pos:R:3 pbc="T T T"
Li -5.042 -6.615 -2.068
Pt -3.361 -4.410 -1.378
Pd 0.000 0.000 0.000
Ho -1.681 -2.205 -0.689
```

Properties
formation energy	-3.419	eV per formula unit
Fermi-level density of states	0.228	states/eV/cell

VASP calculation (PBE) on a geometry-optimized Ba2LiB2S6 structure.

Geometry as extended XYZ:
```
11
Lattice="-0.121 -0.805 6.141 1.201 -5.402 -3.809 6.106 5.128 0.793" Properties=species:S:1:pos:R:3 pbc="T T T"
S 4.804 2.900 5.195
S 4.866 3.311 2.058
B 5.477 -1.803 2.996
B 1.708 0.724 0.129
S 2.320 -4.391 1.066
S 2.579 -0.834 -0.059
S 2.382 -3.979 -2.071
Li 2.992 2.161 3.467
Ba 1.704 -1.708 2.934
S 4.606 -0.245 3.183
Ba 5.481 0.628 0.190
```

Properties
formation energy (no corrections)	-1.141	eV/atom
Fermi-level density of states	4.424	states/eV/cell

VASP calculation (PBE) on a geometry-optimized BaNaZnAu structure.

Geometry as extended XYZ:
```
4
Lattice="4.668 -0.030 -0.011 -2.333 4.044 0.011 -2.326 -1.333 6.759" Properties=species:S:1:pos:R:3 pbc="T T T"
Na 0.640 -0.372 2.563
Au 2.966 0.960 0.916
Ba 0.637 2.316 5.576
Zn 0.635 2.317 1.051
```

Properties
formation energy	-1.286	eV per formula unit
Fermi-level density of states	1.702	states/eV/cell

Q: Which of these has the highest Fermi-level density of states?
A: LiPm3Nd2S6

Q: Which formula does entry 2 have?
A: LiHoPdPt

What did the second record say?
VASP calculation (PBE) on a geometry-optimized LiHoPdPt structure.

Geometry as extended XYZ:
```
4
Lattice="-4.125 -2.035 0.780 -2.245 -2.134 -3.489 -0.352 -4.652 -0.048" Properties=species:S:1:pos:R:3 pbc="T T T"
Li -5.042 -6.615 -2.068
Pt -3.361 -4.410 -1.378
Pd 0.000 0.000 0.000
Ho -1.681 -2.205 -0.689
```

Properties
formation energy	-3.419	eV per formula unit
Fermi-level density of states	0.228	states/eV/cell